The following is a DFT calculation (GGA-PBE) of AlPI2N after structural relaxation.

Unit cell a=5.651 b=5.651 c=3.551 alpha=90.00 beta=90.00 gamma=90.00
Space group P4/mmm (No. 123)
Asymmetric unit:
Al  0.000  0.000  0.000 x1
P  0.500  0.500  0.500 x1
I  0.000  0.500  0.000 x2
N  0.000  0.000  0.500 x1

## Properties
**Distance to the lowest polymorph of the same formula**: 133 meV per atom
**Uncorrected energy**: -3.47 eV/atom
**Theoretical density**: 4.8 g cm⁻³
**Raw formation energy**: 0.6445 eV/atom

=====

The following is a DFT calculation (GGA-PBE) of AlPI2N after structural relaxation.

Unit cell a=6.235 b=6.235 c=3.357 alpha=90.00 beta=90.00 gamma=90.00
Space group P4/mmm (No. 123)
Asymmetric unit:
Al  0.000  0.000  0.000 x1
P  0.500  0.500  0.500 x1
I  0.000  0.500  0.500 x2
N  0.500  0.500  0.000 x1

## Properties
**Distance to the lowest polymorph of the same formula**: 0 meV per atom
**Uncorrected energy**: -3.60 eV/atom
**Theoretical density**: 4.1 g cm⁻³
**Raw formation energy**: 0.5117 eV/atom

=====

The following is a DFT calculation (GGA-PBE) of AlPbI2N after structural relaxation.

Unit cell a=6.250 b=6.250 c=4.598 alpha=90.00 beta=90.00 gamma=90.00
Space group P4/mmm (No. 123)
Asymmetric unit:
Al  0.000  0.000  0.000 x1
Pb  0.500  0.500  0.500 x1
I  0.000  0.500  0.500 x2
N  0.500  0.500  0.000 x1

## Properties
**Distance to the lowest polymorph of the same formula**: 749 meV per atom
**Uncorrected energy**: -3.03 eV/atom
**Theoretical density**: 4.6 g cm⁻³
**Raw formation energy**: 0.7488 eV/atom

=====

The following is a DFT calculation (GGA-PBE) of AlPbI2N after structural relaxation.

Unit cell a=6.009 b=6.009 c=3.601 alpha=90.00 beta=90.00 gamma=90.00
Space group P4/mmm (No. 123)
Asymmetric unit:
Al  0.000  0.000  0.000 x1
Pb  0.500  0.500  0.500 x1
I  0.000  0.500  0.000 x2
N  0.000  0.000  0.500 x1

## Properties
**Distance to the lowest polymorph of the same formula**: 0 meV per atom
**Uncorrected energy**: -3.78 eV/atom
**Theoretical density**: 6.4 g cm⁻³
**Raw formation energy**: -0.0004 eV/atom

=====

The following is a DFT calculation (GGA-PBE) of AlPtI2N after structural relaxation.

Unit cell a=5.660 b=5.660 c=3.446 alpha=90.00 beta=90.00 gamma=90.00
Space group P4/mmm (No. 123)
Asymmetric unit:
Al  0.000  0.000  0.000 x1
Pt  0.500  0.500  0.500 x1
I  0.000  0.500  0.000 x2
N  0.000  0.000  0.500 x1

## Properties
**Distance to the lowest polymorph of the same formula**: 141 meV per atom
**Uncorrected energy**: -3.64 eV/atom
**Theoretical density**: 7.4 g cm⁻³
**Raw formation energy**: 0.6052 eV/atom

=====

The following is a DFT calculation (GGA-PBE) of AlPtI2N after structural relaxation.

Unit cell a=5.852 b=5.852 c=3.752 alpha=90.00 beta=90.00 gamma=90.00
Space group P4/mmm (No. 123)
Asymmetric unit:
Al  0.000  0.000  0.000 x1
Pt  0.500  0.500  0.500 x1
I  0.000  0.500  0.500 x2
N  0.500  0.500  0.000 x1

## Properties
**Distance to the lowest polymorph of the same formula**: 0 meV per atom
**Uncorrected energy**: -3.78 eV/atom
**Theoretical density**: 6.3 g cm⁻³
**Raw formation energy**: 0.4641 eV/atom

=====

Please write out number 4 again, unchanged.
The following is a DFT calculation (GGA-PBE) of AlPbI2N after structural relaxation.

Unit cell a=6.009 b=6.009 c=3.601 alpha=90.00 beta=90.00 gamma=90.00
Space group P4/mmm (No. 123)
Asymmetric unit:
Al  0.000  0.000  0.000 x1
Pb  0.500  0.500  0.500 x1
I  0.000  0.500  0.000 x2
N  0.000  0.000  0.500 x1

## Properties
**Distance to the lowest polymorph of the same formula**: 0 meV per atom
**Uncorrected energy**: -3.78 eV/atom
**Theoretical density**: 6.4 g cm⁻³
**Raw formation energy**: -0.0004 eV/atom

=====

> What is the theoretical density in the fifth record?

7.4 g cm⁻³

=====

> Look up the theoretical density of the second one.

4.1 g cm⁻³

=====

> Among the records above, which one has the highest raw formation energy?

number 3